a) The following is a DFT calculation (PBE) of a relaxed structure of SiCN.

```
data_SiCN
_space_group_name_H-M_alt 'P 1'
_space_group_IT_number 1
_space_group_name_Hall 'P 1'
_cell_length_a 4.288
_cell_length_b 4.288
_cell_length_c 4.288
_cell_angle_alpha 147.58
_cell_angle_beta 133.15
_cell_angle_gamma 58.13
loop_
_atom_site_label
_atom_site_type_symbol
_atom_site_fract_x
_atom_site_fract_y
_atom_site_fract_z
Si1 Si 0.000 0.000 0.000
C1 C 0.346 0.846 0.500
N1 N 0.241 0.241 0.000
```

Computed properties:
The space group is Imm2. The value obtained for the density of states at the Fermi level is 0.111 states/eV/atom. The magnetic moment is 0.00 μB/cell.

b) The following is a DFT calculation (PBE) of a relaxed structure of SiCN.

```
data_SiCN
_space_group_name_H-M_alt 'P 1'
_space_group_IT_number 1
_space_group_name_Hall 'P 1'
_cell_length_a 3.369
_cell_length_b 3.369
_cell_length_c 3.369
_cell_angle_alpha 60.00
_cell_angle_beta 60.00
_cell_angle_gamma 60.00
loop_
_atom_site_label
_atom_site_type_symbol
_atom_site_fract_x
_atom_site_fract_y
_atom_site_fract_z
Si1 Si 0.000 0.000 0.000
C1 C 0.250 0.250 0.250
N1 N 0.750 0.750 0.750
```

Computed properties:
The space group is F-43m. The value obtained for the density of states at the Fermi level is 0.674 states/eV/atom. The magnetic moment is 0.00 μB/cell.

c) The following is a DFT calculation (PBE) of a relaxed structure of SiCN.

```
data_SiCN
_space_group_name_H-M_alt 'P 1'
_space_group_IT_number 1
_space_group_name_Hall 'P 1'
_cell_length_a 2.973
_cell_length_b 3.891
_cell_length_c 3.891
_cell_angle_alpha 35.59
_cell_angle_beta 90.00
_cell_angle_gamma 90.00
loop_
_atom_site_label
_atom_site_type_symbol
_atom_site_fract_x
_atom_site_fract_y
_atom_site_fract_z
Si1 Si 0.000 0.000 0.000
C1 C 0.500 0.189 0.189
N1 N 0.500 0.797 0.797
```

Computed properties:
The space group is Amm2. The value obtained for the density of states at the Fermi level is 0.119 states/eV/atom. The magnetic moment is 0.00 μB/cell.

d) The following is a DFT calculation (PBE) of a relaxed structure of SiCN.

```
data_SiCN
_space_group_name_H-M_alt 'P 1'
_space_group_IT_number 1
_space_group_name_Hall 'P 1'
_cell_length_a 4.741
_cell_length_b 4.741
_cell_length_c 3.014
_cell_angle_alpha 93.54
_cell_angle_beta 93.54
_cell_angle_gamma 151.51
loop_
_atom_site_label
_atom_site_type_symbol
_atom_site_fract_x
_atom_site_fract_y
_atom_site_fract_z
Si1 Si 0.000 0.000 0.000
C1 C 0.210 0.790 0.000
N1 N 0.787 0.213 0.000
```

Computed properties:
The space group is C2. The value obtained for the density of states at the Fermi level is 0.131 states/eV/atom. The magnetic moment is 0.00 μB/cell.

Energy ordering: a) at the bottom, the next structure 1.1 kJ/mol of atoms above.

a) The following is a DFT calculation (PBE) of a relaxed structure of SiCN.

```
data_SiCN
_space_group_name_H-M_alt 'P 1'
_space_group_IT_number 1
_space_group_name_Hall 'P 1'
_cell_length_a 2.775
_cell_length_b 2.775
_cell_length_c 4.909
_cell_angle_alpha 91.55
_cell_angle_beta 91.55
_cell_angle_gamma 60.04
loop_
_atom_site_label
_atom_site_type_symbol
_atom_site_fract_x
_atom_site_fract_y
_atom_site_fract_z
Si1 Si 0.000 0.000 0.000
C1 C 0.008 0.008 0.609
N1 N 0.989 0.989 0.368
```

Computed properties:
The space group is Cm. The value obtained for the density of states at the Fermi level is 0.234 states/eV/atom. The magnetic moment is 0.00 μB/cell.

b) The following is a DFT calculation (PBE) of a relaxed structure of SiCN.

```
data_SiCN
_space_group_name_H-M_alt 'P 1'
_space_group_IT_number 1
_space_group_name_Hall 'P 1'
_cell_length_a 3.101
_cell_length_b 3.101
_cell_length_c 4.181
_cell_angle_alpha 111.97
_cell_angle_beta 111.97
_cell_angle_gamma 59.79
loop_
_atom_site_label
_atom_site_type_symbol
_atom_site_fract_x
_atom_site_fract_y
_atom_site_fract_z
Si1 Si 0.000 0.000 0.000
C1 C 0.263 0.263 0.789
N1 N 0.142 0.142 0.435
```

Computed properties:
The space group is Cm. The value obtained for the density of states at the Fermi level is 0.260 states/eV/atom. The magnetic moment is 0.00 μB/cell.

Energy ordering: b) at the bottom, the next structure 41.8 kJ/mol of atoms above.

a) The following is a DFT calculation (PBE) of a relaxed structure of SiCN.

```
data_SiCN
_space_group_name_H-M_alt 'P 1'
_space_group_IT_number 1
_space_group_name_Hall 'P 1'
_cell_length_a 4.104
_cell_length_b 4.104
_cell_length_c 2.780
_cell_angle_alpha 109.53
_cell_angle_beta 109.53
_cell_angle_gamma 119.34
loop_
_atom_site_label
_atom_site_type_symbol
_atom_site_fract_x
_atom_site_fract_y
_atom_site_fract_z
Si1 Si 0.000 0.000 0.000
C1 C 0.351 0.649 0.500
N1 N 0.154 0.846 0.500
```

Computed properties:
The space group is C2. The value obtained for the density of states at the Fermi level is 0.251 states/eV/atom. The magnetic moment is 0.00 μB/cell.

b) The following is a DFT calculation (PBE) of a relaxed structure of SiCN.

```
data_SiCN
_space_group_name_H-M_alt 'P 1'
_space_group_IT_number 1
_space_group_name_Hall 'P 1'
_cell_length_a 2.864
_cell_length_b 2.941
_cell_length_c 3.760
_cell_angle_alpha 90.00
_cell_angle_beta 90.00
_cell_angle_gamma 90.00
loop_
_atom_site_label
_atom_site_type_symbol
_atom_site_fract_x
_atom_site_fract_y
_atom_site_fract_z
Si1 Si 0.000 0.000 0.000
C1 C 0.500 0.000 0.670
N1 N 0.500 0.000 0.326
```

Computed properties:
The space group is Pmm2. The value obtained for the density of states at the Fermi level is 0.322 states/eV/atom. The magnetic moment is 0.00 μB/cell.

Energy ordering: a) at the bottom, the next structure 14.3 kJ/mol of atoms above.

a) The following is a DFT calculation (PBE) of a relaxed structure of Si2CN.

```
data_Si2CN
_space_group_name_H-M_alt 'P 1'
_space_group_IT_number 1
_space_group_name_Hall 'P 1'
_cell_length_a 5.280
_cell_length_b 5.280
_cell_length_c 5.280
_cell_angle_alpha 132.06
_cell_angle_beta 132.06
_cell_angle_gamma 70.13
loop_
_atom_site_label
_atom_site_type_symbol
_atom_site_fract_x
_atom_site_fract_y
_atom_site_fract_z
Si1 Si 0.121 0.625 0.996
Si2 Si 0.375 0.371 0.496
Si3 Si 0.629 0.125 0.004
Si4 Si 0.875 0.879 0.504
C1 C 0.000 0.000 0.000
C2 C 0.750 0.250 0.500
N1 N 0.250 0.750 0.500
N2 N 0.500 0.500 0.000
```

Computed properties:
The space group is I-42d. The value obtained for the density of states at the Fermi level is 0.251 states/eV/atom. The magnetic moment is 0.00 μB/cell.

b) The following is a DFT calculation (PBE) of a relaxed structure of Si2CN.

```
data_Si2CN
_space_group_name_H-M_alt 'P 1'
_space_group_IT_number 1
_space_group_name_Hall 'P 1'
_cell_length_a 3.704
_cell_length_b 3.704
_cell_length_c 3.704
_cell_angle_alpha 60.00
_cell_angle_beta 60.00
_cell_angle_gamma 60.00
loop_
_atom_site_label
_atom_site_type_symbol
_atom_site_fract_x
_atom_site_fract_y
_atom_site_fract_z
Si1 Si 0.250 0.250 0.250
Si2 Si 0.750 0.750 0.750
C1 C 0.000 0.000 0.000
N1 N 0.500 0.500 0.500
```

Computed properties:
The space group is Fm-3m. The value obtained for the density of states at the Fermi level is 0.279 states/eV/atom. The magnetic moment is 0.00 μB/cell.

Energy ordering: a) at the bottom, the next structure 162.4 kJ/mol of atoms above.